(1)
! NaCoP3 | Alexandria | PBE | optimized geometry; values from VASP
&SYSTEM
  ibrav = 0, nat = 5, ntyp = 3
/
ATOMIC_SPECIES
Na 22.99 Na.upf
Co 58.93 Co.upf
P 30.97 P.upf
ATOMIC_POSITIONS crystal
Na 0.0000 0.0000 0.0000
Co 0.5000 0.5000 0.5000
P 0.0000 0.5000 0.5000
P 0.5000 0.0000 0.5000
P 0.5000 0.5000 0.0000
CELL_PARAMETERS angstrom
4.4706 0.0000 0.0000
0.0000 4.4706 0.0000
0.0000 0.0000 4.4706
! relative energy among the computed polymorphs	0	meV per atom
! E	-4.6144	eV/atom
! calculated formation energy	0.3165	eV/atom
! spin magnetization	0.000	μB/f.u.


(2)
! CaTlGe2O6 | Alexandria | PBE | optimized geometry; values from VASP
&SYSTEM
  ibrav = 0, nat = 20, ntyp = 4
/
ATOMIC_SPECIES
Ca 40.08 Ca.upf
Tl 204.38 Tl.upf
Ge 72.64 Ge.upf
O 16.00 O.upf
ATOMIC_POSITIONS crystal
Ca 0.1010 0.8990 0.7500
Ca 0.8990 0.1010 0.2500
Tl 0.2935 0.7065 0.2500
Tl 0.7065 0.2935 0.7500
Ge 0.2008 0.3743 0.7519
Ge 0.3743 0.2008 0.2519
Ge 0.6257 0.7992 0.7481
Ge 0.7992 0.6257 0.2481
O 0.0322 0.2049 0.6563
O 0.1227 0.6047 0.8432
O 0.2049 0.0322 0.1563
O 0.3271 0.3752 0.5112
O 0.3752 0.3271 0.0112
O 0.3953 0.8773 0.6568
O 0.6047 0.1227 0.3432
O 0.6248 0.6729 0.9888
O 0.6729 0.6248 0.4888
O 0.7951 0.9678 0.8437
O 0.8773 0.3953 0.1568
O 0.9678 0.7951 0.3437
CELL_PARAMETERS angstrom
5.4009 -4.9709 0.0000
5.4009 4.9709 0.0000
-1.6126 0.0000 5.5260
! E	-6.0791	eV/atom
! energy relative to the elements, uncorrected	-1.7439	eV/atom
! spin magnetization	0.356	μB/f.u.


(3)
! NaHN | Alexandria | PBE | optimized geometry; values from VASP
&SYSTEM
  ibrav = 0, nat = 12, ntyp = 3
/
ATOMIC_SPECIES
Na 22.99 Na.upf
H 1.01 H.upf
N 14.01 N.upf
ATOMIC_POSITIONS crystal
Na 0.1371 0.2494 0.4039
Na 0.1371 0.2506 0.9039
Na 0.8629 0.7494 0.0961
Na 0.8629 0.7506 0.5961
H 0.1376 0.7498 0.1543
H 0.1376 0.7502 0.6543
H 0.8624 0.2498 0.3457
H 0.8624 0.2502 0.8457
N 0.4417 0.0628 0.4824
N 0.4417 0.4372 0.9824
N 0.5583 0.5628 0.0176
N 0.5583 0.9372 0.5176
CELL_PARAMETERS angstrom
8.9507 0.0000 0.0000
0.0000 3.3729 0.0000
-1.0717 0.0000 6.5516
! relative energy among the computed polymorphs	0	meV per atom
! E	-4.4304	eV/atom
! spin magnetization	0.000	μB/f.u.


(4)
! KBC | Alexandria | PBE | optimized geometry; values from VASP
&SYSTEM
  ibrav = 0, nat = 6, ntyp = 3
/
ATOMIC_SPECIES
K 39.10 K.upf
B 10.81 B.upf
C 12.01 C.upf
ATOMIC_POSITIONS crystal
K 0.2500 0.2500 0.2295
K 0.7500 0.7500 0.7705
B 0.2500 0.7500 0.5000
B 0.7500 0.2500 0.5000
C 0.2500 0.2500 0.5842
C 0.7500 0.7500 0.4158
CELL_PARAMETERS angstrom
2.9848 0.0000 0.0000
0.0000 2.9848 0.0000
0.0000 0.0000 10.1430
! E	-5.1203	eV/atom
! calculated formation energy	0.5459	eV/atom
! spin magnetization	0.001	μB/f.u.


(5)
! Sm3CdFe | Alexandria | PBE | optimized geometry; values from VASP
&SYSTEM
  ibrav = 0, nat = 5, ntyp = 3
/
ATOMIC_SPECIES
Sm 150.36 Sm.upf
Cd 112.41 Cd.upf
Fe 55.84 Fe.upf
ATOMIC_POSITIONS crystal
Sm 0.0000 0.0000 0.5000
Sm 0.0000 0.5000 0.0000
Sm 0.5000 0.0000 0.0000
Cd 0.5000 0.5000 0.5000
Fe 0.0000 0.0000 0.0000
CELL_PARAMETERS angstrom
5.2215 0.0000 0.0000
0.0000 5.2215 0.0000
0.0000 0.0000 5.2215
! relative energy among the computed polymorphs	114	meV per atom
! E	-4.6665	eV/atom
! calculated formation energy	0.0405	eV/atom
! spin magnetization	0.001	μB/f.u.


(6)
! Li2GaSeO | Alexandria | PBE | optimized geometry; values from VASP
&SYSTEM
  ibrav = 0, nat = 5, ntyp = 4
/
ATOMIC_SPECIES
Li 6.94 Li.upf
Ga 69.72 Ga.upf
Se 78.96 Se.upf
O 16.00 O.upf
ATOMIC_POSITIONS crystal
Li 0.0000 0.5000 0.0000
Li 0.5000 0.0000 0.0000
Ga 0.0000 0.0000 0.5000
Se 0.0000 0.0000 0.0000
O 0.5000 0.5000 0.5000
CELL_PARAMETERS angstrom
4.5350 0.0000 0.0000
0.0000 4.5350 0.0000
0.0000 0.0000 5.1153
! E	-3.3019	eV/atom
! energy relative to the elements, uncorrected	-0.2425	eV/atom
! spin magnetization	0.128	μB/f.u.


(7)
! YCdP2 | Alexandria | PBE | optimized geometry; values from VASP
&SYSTEM
  ibrav = 0, nat = 4, ntyp = 3
/
ATOMIC_SPECIES
Y 88.91 Y.upf
Cd 112.41 Cd.upf
P 30.97 P.upf
ATOMIC_POSITIONS crystal
Y 0.0000 0.0000 0.0000
Cd 0.0000 0.0000 0.5000
P 0.5000 0.5000 0.2486
P 0.5000 0.5000 0.7514
CELL_PARAMETERS angstrom
2.1253 -2.8461 0.0000
2.1253 2.8461 0.0000
0.0000 0.0000 7.0304
! E	-4.9170	eV/atom
! calculated formation energy	-0.3673	eV/atom
! spin magnetization	0.000	μB/f.u.


(8)
! Ho3ZrTe6 | Alexandria | PBE | optimized geometry; values from VASP
&SYSTEM
  ibrav = 0, nat = 20, ntyp = 3
/
ATOMIC_SPECIES
Ho 164.93 Ho.upf
Zr 91.22 Zr.upf
Te 127.60 Te.upf
ATOMIC_POSITIONS crystal
Ho 0.0850 0.5790 0.2389
Ho 0.2389 0.0850 0.5790
Ho 0.4210 0.7611 0.9150
Ho 0.5790 0.2389 0.0850
Ho 0.7611 0.9150 0.4210
Ho 0.9150 0.4210 0.7611
Zr 0.0000 0.0000 0.0000
Zr 0.5000 0.5000 0.5000
Te 0.0811 0.6906 0.9043
Te 0.0957 0.9189 0.3094
Te 0.1845 0.4183 0.5424
Te 0.3094 0.0957 0.9189
Te 0.4183 0.5424 0.1845
Te 0.4576 0.8155 0.5817
Te 0.5424 0.1845 0.4183
Te 0.5817 0.4576 0.8155
Te 0.6906 0.9043 0.0811
Te 0.8155 0.5817 0.4576
Te 0.9043 0.0811 0.6906
Te 0.9189 0.3094 0.0957
CELL_PARAMETERS angstrom
6.2745 3.6226 5.1130
-6.2745 3.6226 5.1130
0.0000 -7.2452 5.1130
! E	-5.2495	eV/atom
! energy relative to the elements, uncorrected	-1.1363	eV/atom
! spin magnetization	1.049	μB/f.u.


(9)
! ScTl2Mo | Alexandria | PBE | optimized geometry; values from VASP
&SYSTEM
  ibrav = 0, nat = 4, ntyp = 3
/
ATOMIC_SPECIES
Sc 44.96 Sc.upf
Tl 204.38 Tl.upf
Mo 95.94 Mo.upf
ATOMIC_POSITIONS crystal
Sc 0.0000 0.0000 0.0000
Tl 0.2500 0.2500 0.2500
Tl 0.5000 0.5000 0.5000
Mo 0.7500 0.7500 0.7500
CELL_PARAMETERS angstrom
0.0000 3.5180 3.5180
3.5180 0.0000 3.5180
3.5180 3.5180 0.0000
! relative energy among the computed polymorphs	395	meV per atom
! E	-4.8222	eV/atom
! calculated formation energy	0.6516	eV/atom
! spin magnetization	0.000	μB/f.u.


(10)
! CaSc2Pd | Alexandria | PBE | optimized geometry; values from VASP
&SYSTEM
  ibrav = 0, nat = 4, ntyp = 3
/
ATOMIC_SPECIES
Ca 40.08 Ca.upf
Sc 44.96 Sc.upf
Pd 106.42 Pd.upf
ATOMIC_POSITIONS crystal
Ca 0.0000 0.0000 0.0000
Sc 0.1049 0.1049 0.1049
Sc 0.8951 0.8951 0.8951
Pd 0.5000 0.5000 0.5000
CELL_PARAMETERS angstrom
1.6979 0.9803 10.3044
-1.6979 0.9803 10.3044
0.0000 -1.9606 10.3044
! relative energy among the computed polymorphs	75	meV per atom
! E	-5.0489	eV/atom
! calculated formation energy	-0.0846	eV/atom
! spin magnetization	0.000	μB/f.u.


(11)
! Tl3BRh | Alexandria | PBE | optimized geometry; values from VASP
&SYSTEM
  ibrav = 0, nat = 5, ntyp = 3
/
ATOMIC_SPECIES
Tl 204.38 Tl.upf
B 10.81 B.upf
Rh 102.91 Rh.upf
ATOMIC_POSITIONS crystal
Tl 0.0000 0.0000 0.5000
Tl 0.0000 0.5000 0.0000
Tl 0.5000 0.0000 0.0000
B 0.0000 0.0000 0.0000
Rh 0.5000 0.5000 0.5000
CELL_PARAMETERS angstrom
4.8044 0.0000 0.0000
0.0000 4.8044 0.0000
0.0000 0.0000 4.8044
! relative energy among the computed polymorphs	11	meV per atom
! E	-3.2270	eV/atom
! calculated formation energy	0.9986	eV/atom
! spin magnetization	0.000	μB/f.u.


(12)
! NaPdF | Alexandria | PBE | optimized geometry; values from VASP
&SYSTEM
  ibrav = 0, nat = 6, ntyp = 3
/
ATOMIC_SPECIES
Na 22.99 Na.upf
Pd 106.42 Pd.upf
F 19.00 F.upf
ATOMIC_POSITIONS crystal
Na 0.0000 0.0000 0.0000
Na 0.0000 0.0000 0.5000
Pd 0.3333 0.6667 0.2827
Pd 0.6667 0.3333 0.7827
F 0.3333 0.6667 0.0984
F 0.6667 0.3333 0.5984
CELL_PARAMETERS angstrom
3.0465 0.0000 0.0000
-1.5233 2.6384 0.0000
0.0000 0.0000 12.0259
! relative energy among the computed polymorphs	444	meV per atom
! E	-3.8157	eV/atom
! energy relative to the elements, uncorrected	-1.0213	eV/atom
! spin magnetization	0.498	μB/f.u.